A plane-wave DFT calculation with GGA-PBE was carried out for crystalline Tl2InW at its relaxed geometry.

Lattice parameters (Å, degrees): 3.497 4.929 11.067 90.00 90.00 90.00
Space group Cmmm (No. 65)
Unique sites:
Tl 0.000 0.000 0.221
In 0.000 0.500 0.500
W 0.000 0.500 0.000

Calculated values
- Magnetization: 0.00 μB per atom
- Energy of formation from the pure elements: 0.7198 eV/atom